Entry 1:
## Re7Tc2Ru2 (PBE-GGA)

Data for an optimized crystal structure of Re7Tc2Ru2.

a b c (Å): 5.001 5.001 6.793
angles (deg): 97.30 97.30 97.11
Element x y z (fractional)
Re 0.000 0.000 0.000
Re 0.063 0.434 0.802
Re 0.139 0.139 0.398
Re 0.434 0.063 0.802
Re 0.566 0.937 0.198
Re 0.861 0.861 0.602
Re 0.937 0.566 0.198
Tc 0.411 0.411 0.150
Tc 0.589 0.589 0.850
Ru 0.325 0.675 0.500
Ru 0.675 0.325 0.500

Values from the calculation:
Fermi-level density of states: 7.44 states/eV/cell
Theoretical density: 17.08 g/cm³
M_tot: 0.00 μB/f.u.
Energy of formation: 0.160 eV/atom
Electronic total energy: -0.8329 Ry/atom



Entry 2:
## Re6Tc5Ru (PBE-GGA)

Data for an optimized crystal structure of Re6Tc5Ru.

a b c (Å): 7.278 7.278 7.278
angles (deg): 148.92 115.32 73.50
Element x y z (fractional)
Re 0.083 0.334 0.749
Re 0.249 0.000 0.249
Re 0.415 0.666 0.749
Re 0.585 0.334 0.251
Re 0.751 0.000 0.751
Re 0.917 0.666 0.251
Tc 0.166 0.166 0.000
Tc 0.334 0.834 0.500
Tc 0.500 0.500 0.000
Tc 0.666 0.166 0.500
Tc 0.834 0.834 0.000
Ru 0.000 0.500 0.500

Values from the calculation:
Fermi-level density of states: 12.33 states/eV/cell
Theoretical density: 16.02 g/cm³
M_tot: 0.00 μB/f.u.
Energy of formation: 0.056 eV/atom
Electronic total energy: -0.8276 Ry/atom



Entry 3:
## Re2TcRu (PBE-GGA)

Data for an optimized crystal structure of Re2TcRu.

a b c (Å): 4.760 4.760 2.738
angles (deg): 90.00 90.00 109.36
Element x y z (fractional)
Re 0.000 0.500 0.000
Re 0.500 0.000 0.000
Tc 0.000 0.000 0.500
Ru 0.500 0.500 0.500

Values from the calculation:
E above lowest polymorph: 0.22 kcal/mol of atoms
Fermi-level density of states: 5.12 states/eV/cell
Theoretical density: 16.22 g/cm³
M_tot: 0.00 μB/f.u.
Energy of formation: 0.045 eV/atom
Electronic total energy: -0.8150 Ry/atom



Entry 4:
## Re4TcRu (PBE-GGA)

Data for an optimized crystal structure of Re4TcRu.

a b c (Å): 5.100 5.100 5.100
angles (deg): 60.00 60.00 60.00
Element x y z (fractional)
Re 0.125 0.125 0.125
Re 0.125 0.125 0.626
Re 0.125 0.626 0.125
Re 0.626 0.125 0.125
Tc 0.500 0.500 0.500
Ru 0.750 0.750 0.750

Values from the calculation:
E above lowest polymorph: 5.06 kcal/mol of atoms
Fermi-level density of states: 4.60 states/eV/cell
Theoretical density: 16.71 g/cm³
M_tot: 0.00 μB/f.u.
Energy of formation: 0.341 eV/atom
Electronic total energy: -0.8255 Ry/atom



Entry 5:
## Re5TcRu2 (PBE-GGA)

Data for an optimized crystal structure of Re5TcRu2.

a b c (Å): 5.538 9.967 10.035
angles (deg): 117.23 90.02 106.06
Element x y z (fractional)
Re 0.010 0.270 0.126
Re 0.134 0.521 0.624
Re 0.242 0.731 0.378
Re 0.258 0.774 0.128
Re 0.261 0.270 0.626
Re 0.363 0.978 0.876
Re 0.385 0.021 0.624
Re 0.387 0.521 0.123
Re 0.483 0.226 0.372
Re 0.488 0.731 0.878
Re 0.512 0.269 0.122
Re 0.517 0.774 0.628
Re 0.613 0.479 0.877
Re 0.615 0.979 0.376
Re 0.637 0.022 0.124
Re 0.739 0.730 0.374
Re 0.742 0.226 0.872
Re 0.758 0.269 0.622
Re 0.866 0.479 0.376
Re 0.990 0.730 0.874
Tc 0.115 0.478 0.876
Tc 0.362 0.478 0.376
Tc 0.638 0.522 0.624
Tc 0.885 0.522 0.124
Ru 0.008 0.771 0.624
Ru 0.112 0.980 0.374
Ru 0.133 0.020 0.126
Ru 0.236 0.229 0.876
Ru 0.764 0.771 0.124
Ru 0.867 0.980 0.874
Ru 0.888 0.020 0.626
Ru 0.992 0.229 0.376

Values from the calculation:
Fermi-level density of states: 27.67 states/eV/cell
Theoretical density: 17.47 g/cm³
M_tot: 0.00 μB/f.u.
Energy of formation: -0.040 eV/atom
Electronic total energy: -0.8404 Ry/atom



Entry 6:
## Re2Tc5Ru2 (PBE-GGA)

Data for an optimized crystal structure of Re2Tc5Ru2.

a b c (Å): 7.170 7.170 8.402
angles (deg): 111.49 111.49 43.60
Element x y z (fractional)
Re 0.103 0.103 0.088
Re 0.173 0.419 0.304
Re 0.581 0.827 0.696
Re 0.897 0.897 0.912
Tc 0.236 0.030 0.416
Tc 0.246 0.650 0.177
Tc 0.350 0.754 0.823
Tc 0.429 0.123 0.008
Tc 0.505 0.216 0.594
Tc 0.752 0.115 0.286
Tc 0.784 0.495 0.406
Tc 0.877 0.571 0.992
Tc 0.885 0.248 0.714
Tc 0.970 0.764 0.584
Ru 0.139 0.391 0.737
Ru 0.395 0.605 0.500
Ru 0.585 0.415 0.000
Ru 0.609 0.861 0.263

Values from the calculation:
Fermi-level density of states: 16.63 states/eV/cell
Theoretical density: 12.92 g/cm³
M_tot: 0.00 μB/f.u.
Energy of formation: 0.249 eV/atom
Electronic total energy: -0.7598 Ry/atom



Entry 7:
## ReTc2Ru (PBE-GGA)

Data for an optimized crystal structure of ReTc2Ru.

a b c (Å): 4.743 4.743 4.743
angles (deg): 131.79 131.79 70.56
Element x y z (fractional)
Re 0.000 0.000 0.000
Tc 0.250 0.750 0.500
Tc 0.500 0.500 0.000
Ru 0.750 0.250 0.500

Values from the calculation:
E above lowest polymorph: 1.77 kcal/mol of atoms
Fermi-level density of states: 4.40 states/eV/cell
Theoretical density: 13.81 g/cm³
M_tot: 0.00 μB/f.u.
Energy of formation: 0.042 eV/atom
Electronic total energy: -0.7770 Ry/atom



Entry 8:
## ReTcRu2 (PBE-GGA)

Data for an optimized crystal structure of ReTcRu2.

a b c (Å): 4.720 4.720 4.720
angles (deg): 131.76 131.76 70.60
Element x y z (fractional)
Re 0.000 0.000 0.000
Tc 0.500 0.500 0.000
Ru 0.250 0.750 0.500
Ru 0.750 0.250 0.500

Values from the calculation:
E above lowest polymorph: 2.39 kcal/mol of atoms
Fermi-level density of states: 3.24 states/eV/cell
Theoretical density: 14.09 g/cm³
M_tot: 0.00 μB/f.u.
Energy of formation: 0.026 eV/atom
Electronic total energy: -0.7582 Ry/atom



Entry 9:
## ReTcRu2 (PBE-GGA)

Data for an optimized crystal structure of ReTcRu2.

a b c (Å): 2.731 3.842 5.467
angles (deg): 90.00 90.00 90.00
Element x y z (fractional)
Re 0.000 0.000 0.000
Tc 0.000 0.000 0.500
Ru 0.500 0.500 0.250
Ru 0.500 0.500 0.750

Values from the calculation:
E above lowest polymorph: 2.52 kcal/mol of atoms
Fermi-level density of states: 3.71 states/eV/cell
Theoretical density: 14.08 g/cm³
M_tot: 0.00 μB/f.u.
Energy of formation: 0.031 eV/atom
Electronic total energy: -0.7578 Ry/atom



Entry 10:
## ReTc2Ru (PBE-GGA)

Data for an optimized crystal structure of ReTc2Ru.

a b c (Å): 3.874 3.874 3.871
angles (deg): 90.00 90.00 90.00
Element x y z (fractional)
Re 0.000 0.000 0.000
Tc 0.000 0.500 0.500
Tc 0.500 0.000 0.500
Ru 0.500 0.500 0.000

Values from the calculation:
E above lowest polymorph: 1.90 kcal/mol of atoms
Fermi-level density of states: 4.75 states/eV/cell
Theoretical density: 13.82 g/cm³
M_tot: 0.00 μB/f.u.
Energy of formation: 0.048 eV/atom
Electronic total energy: -0.7766 Ry/atom



Entry 11:
## ReTcRu2 (PBE-GGA)

Data for an optimized crystal structure of ReTcRu2.

a b c (Å): 9.050 9.050 9.050
angles (deg): 17.35 17.35 17.35
Element x y z (fractional)
Re 0.000 0.000 0.000
Tc 0.248 0.248 0.248
Ru 0.499 0.499 0.499
Ru 0.749 0.749 0.749

Values from the calculation:
E above lowest polymorph: 3.41 kcal/mol of atoms
Fermi-level density of states: 4.39 states/eV/cell
Theoretical density: 14.03 g/cm³
M_tot: 0.00 μB/f.u.
Energy of formation: 0.070 eV/atom
Electronic total energy: -0.7549 Ry/atom



Entry 12:
## ReTc6Ru (PBE-GGA)

Data for an optimized crystal structure of ReTc6Ru.

a b c (Å): 5.110 5.110 4.879
angles (deg): 90.31 90.31 108.74
Element x y z (fractional)
Re 0.000 0.000 0.000
Tc 0.117 0.551 0.748
Tc 0.394 0.394 0.248
Tc 0.449 0.883 0.252
Tc 0.551 0.117 0.748
Tc 0.606 0.606 0.752
Tc 0.883 0.449 0.252
Ru 0.000 0.000 0.500

Values from the calculation:
Fermi-level density of states: 6.92 states/eV/cell
Theoretical density: 12.05 g/cm³
M_tot: 0.00 μB/f.u.
Energy of formation: 0.231 eV/atom
Electronic total energy: -0.7540 Ry/atom